[1]
Entry from Alexandria: crystalline LaScIn2Co at its relaxed geometry (PBE-GGA).

Computed properties:
Theoretical density ... 6.53 g cm⁻³
Formation enthalpy at 0 K ... -1.22 eV per formula unit
Magnetic moment ... 0.00 μB per cell
Space group ... P4/mmm
V ... 120.2 Å³ per cell

abc: 5.0310 5.0310 4.7489
angles: 90.00 90.00 90.00
Fractional positions:
La 0.0000 0.0000 0.0000
Sc 0.5000 0.5000 0.0000
In 0.0000 0.5000 0.5000
In 0.5000 0.0000 0.5000
Co 0.5000 0.5000 0.5000

[2]
Entry from Alexandria: crystalline Ca2PrY4 at its relaxed geometry (PBE-GGA).

Computed properties:
Theoretical density ... 3.83 g cm⁻³
Formation enthalpy at 0 K ... 0.48 eV per formula unit
Magnetic moment ... 0.00 μB per cell
Space group ... Cmmm
V ... 500.6 Å³ per cell

abc: 3.6733 37.5648 3.6279
angles: 90.00 90.00 90.00
Fractional positions:
Ca 0.0000 0.2057 0.0000
Ca 0.0000 0.7943 0.0000
Ca 0.5000 0.2943 0.0000
Ca 0.5000 0.7057 0.0000
Pr 0.0000 0.5000 0.5000
Pr 0.5000 0.0000 0.5000
Y 0.0000 0.0689 0.0000
Y 0.0000 0.3669 0.5000
Y 0.0000 0.6331 0.5000
Y 0.0000 0.9311 0.0000
Y 0.5000 0.1331 0.5000
Y 0.5000 0.4311 0.0000
Y 0.5000 0.5689 0.0000
Y 0.5000 0.8669 0.5000

[3]
Entry from Alexandria: crystalline AlIn2Cl at its relaxed geometry (PBE-GGA).

Computed properties:
Theoretical density ... 4.83 g cm⁻³
E above lowest polymorph ... 134 meV/atom
Energy relative to the elements, uncorrected ... -0.099 eV per atom
Magnetic moment ... 0.00 μB per cell
Space group ... P2/m
V ... 100.4 Å³ per cell

abc: 3.3242 5.5601 5.4403
angles: 90.00 93.27 90.00
Fractional positions:
Al 0.0000 0.0000 0.0000
In 0.2722 0.5000 0.2456
In 0.7278 0.5000 0.7544
Cl 0.0000 0.0000 0.5000

[4]
Entry from Alexandria: crystalline KNaSiAg2 at its relaxed geometry (PBE-GGA).

Computed properties:
Theoretical density ... 3.73 g cm⁻³
Energy relative to the elements, uncorrected ... 0.043 eV per atom
Magnetic moment ... 0.00 μB per cell
Space group ... P4/mmm
V ... 136.2 Å³ per cell

abc: 4.9608 4.9608 5.5360
angles: 90.00 90.00 90.00
Fractional positions:
K 0.0000 0.0000 0.0000
Na 0.5000 0.5000 0.0000
Si 0.5000 0.5000 0.5000
Ag 0.0000 0.5000 0.5000
Ag 0.5000 0.0000 0.5000

| no. | VASP energy (eV/atom) |
| --- | --- |
| 1 | -5.013 |
| 2 | -4.880 |
| 3 | -2.866 |
| 4 | -2.666 |